Below is Ho2Fe2Si2C after structural relaxation, with properties calculated at the PBE level.

Values from the calculation:
* uncorrected energy: -102.108 eV/cell
* formation energy without anion corrections: -473 kJ/mol of formula units

Cell and atoms, written as CIF:
```
data_Ho2Fe2Si2C
_chemical_formula_sum 'Ho4 Fe4 Si4 C2'
_cell_length_a 10.5376
_cell_length_b 3.9175
_cell_length_c 6.7093
_cell_angle_alpha 90.00
_cell_angle_beta 129.53
_cell_angle_gamma 90.00
_space_group_name_H-M_alt 'C 1 2/m 1'
_space_group_IT_number 12
loop_
_space_group_symop_operation_xyz
'x,y,z'
'-x,-y,-z'
'-x,y,-z'
'x,-y,z'
'x+1/2,y+1/2,z'
'-x+1/2,-y+1/2,-z'
'-x+1/2,y+1/2,-z'
'x+1/2,-y+1/2,z'
loop_
_atom_site_label
_atom_site_fract_x
_atom_site_fract_y
_atom_site_fract_z
_atom_site_occupancy
Ho1 0.0590 0.0000 0.2929 1
Fe1 0.2015 0.5000 0.0961 1
Si1 0.1610 0.5000 0.7148 1
C1 0.0000 0.5000 0.0000 1
```

Below is HoTiFe11C after structural relaxation, with properties calculated at the PBE level.

Values from the calculation:
* uncorrected energy: -232.377 eV/cell
* calculated formation energy: -9.7 kJ/mol of atoms

Cell and atoms, written as CIF:
```
data_HoTiFe11C
_chemical_formula_sum 'Ho2 Ti2 Fe22 C2'
_cell_length_a 4.8386
_cell_length_b 8.5467
_cell_length_c 8.4851
_cell_angle_alpha 90.00
_cell_angle_beta 90.00
_cell_angle_gamma 90.00
_space_group_name_H-M_alt 'I m m 2'
_space_group_IT_number 44
loop_
_space_group_symop_operation_xyz
'x,y,z'
'-x,-y,z'
'-x,y,z'
'x,-y,z'
'x+1/2,y+1/2,z+1/2'
'-x+1/2,-y+1/2,z+1/2'
'-x+1/2,y+1/2,z+1/2'
'x+1/2,-y+1/2,z+1/2'
loop_
_atom_site_label
_atom_site_fract_x
_atom_site_fract_y
_atom_site_fract_z
_atom_site_occupancy
Ho1 0.0000 0.0000 0.0000 1
Ti1 0.0000 0.0000 0.6257 1
Fe1 0.0000 0.0000 0.3486 1
Fe2 0.0000 0.2801 0.4899 1
Fe3 0.0000 0.3582 0.9921 1
Fe4 0.0000 0.5000 0.2695 1
Fe5 0.0000 0.5000 0.7168 1
Fe6 0.2496 0.2486 0.2428 1
C1 0.0000 0.5000 0.4937 1
```

Below is HoU2FeC4 after structural relaxation, with properties calculated at the PBE level.

Values from the calculation:
* uncorrected energy: -292.762 eV/cell
* calculated formation energy: -8.2 kJ/mol of atoms

Cell and atoms, written as CIF:
```
data_HoU2FeC4
_chemical_formula_sum 'Ho4 U8 Fe4 C16'
_cell_length_a 3.5065
_cell_length_b 11.1112
_cell_length_c 11.5020
_cell_angle_alpha 90.00
_cell_angle_beta 90.00
_cell_angle_gamma 90.00
_space_group_name_H-M_alt 'C m c m'
_space_group_IT_number 63
_space_group_name_Hall '-C 2c 2'
loop_
_atom_site_label
_atom_site_fract_x
_atom_site_fract_y
_atom_site_fract_z
_atom_site_occupancy
Ho1 0.0000 0.1053 0.2500 1
U1 0.0000 0.3696 0.0510 1
Fe1 0.0000 0.1591 0.7500 1
C1 0.0000 0.0000 0.0000 1
C2 0.0000 0.2599 0.6224 1
C3 0.0000 0.4317 0.2500 1
```

Below is HoZnFeC after structural relaxation, with properties calculated at the PBE level.

Values from the calculation:
* uncorrected energy: -48.256 eV/cell
* calculated formation energy: -14.2 kJ/mol of atoms

Cell and atoms, written as CIF:
```
data_HoZnFeC
_chemical_formula_sum 'Ho2 Zn2 Fe2 C2'
_cell_length_a 3.4520
_cell_length_b 3.4520
_cell_length_c 10.0154
_cell_angle_alpha 90.00
_cell_angle_beta 90.00
_cell_angle_gamma 90.00
_space_group_name_H-M_alt 'P 4/n m m'
_space_group_IT_number 129
loop_
_space_group_symop_operation_xyz
'x,y,z'
'-x,-y,-z'
'-y+1/2,x,z'
'y+1/2,-x,-z'
'-x+1/2,-y+1/2,z'
'x+1/2,y+1/2,-z'
'y,-x+1/2,z'
'-y,x+1/2,-z'
'x+1/2,-y,-z'
'-x+1/2,y,z'
'-y,-x,-z'
'y,x,z'
'-x,y+1/2,-z'
'x,-y+1/2,z'
'y+1/2,x+1/2,-z'
'-y+1/2,-x+1/2,z'
loop_
_atom_site_label
_atom_site_fract_x
_atom_site_fract_y
_atom_site_fract_z
_atom_site_occupancy
Ho1 0.2500 0.2500 0.2258 1
Zn1 0.2500 0.7500 0.5000 1
Fe1 0.2500 0.7500 0.0000 1
C1 0.2500 0.2500 0.9027 1
```

Below is FeCI2 after structural relaxation, with properties calculated at the PBE level.

Values from the calculation:
* uncorrected energy: -52.129 eV/cell
* formation energy without anion corrections: 748 kJ/mol of formula units
* distance to the lowest polymorph of the same formula: 0.245 eV/atom

Cell and atoms, written as CIF:
```
data_FeCI2
_chemical_formula_sum 'Fe4 C4 I8'
_cell_length_a 6.9378
_cell_length_b 6.9378
_cell_length_c 6.9378
_cell_angle_alpha 90.00
_cell_angle_beta 90.00
_cell_angle_gamma 90.00
_space_group_name_H-M_alt 'F m -3 m'
_space_group_IT_number 225
_space_group_name_Hall '-F 4 2 3'
loop_
_atom_site_label
_atom_site_fract_x
_atom_site_fract_y
_atom_site_fract_z
_atom_site_occupancy
Fe1 0.0000 0.0000 0.0000 1
C1 0.0000 0.0000 0.5000 1
I1 0.2500 0.2500 0.2500 1
```

Below is FeCI2 after structural relaxation, with properties calculated at the PBE level.

Values from the calculation:
* uncorrected energy: -56.045 eV/cell
* formation energy without anion corrections: 654 kJ/mol of formula units
* distance to the lowest polymorph of the same formula: 0.000 eV/atom

Cell and atoms, written as CIF:
```
data_FeCI2
_chemical_formula_sum 'Fe4 C4 I8'
_cell_length_a 5.6698
_cell_length_b 5.6698
_cell_length_c 11.4644
_cell_angle_alpha 90.00
_cell_angle_beta 90.00
_cell_angle_gamma 90.00
_space_group_name_H-M_alt 'I -4 2 d'
_space_group_IT_number 122
_space_group_name_Hall 'I -4 2bw'
loop_
_atom_site_label
_atom_site_fract_x
_atom_site_fract_y
_atom_site_fract_z
_atom_site_occupancy
Fe1 0.0000 0.0000 0.0000 1
C1 0.0000 0.0000 0.5000 1
I1 0.2429 0.2500 0.1250 1
```

Below is FeCI3 after structural relaxation, with properties calculated at the PBE level.

Values from the calculation:
* uncorrected energy: -13.172 eV/cell
* formation energy without anion corrections: 884 kJ/mol of formula units
* distance to the lowest polymorph of the same formula: 0.322 eV/atom

Cell and atoms, written as CIF:
```
data_FeCI3
_chemical_formula_sum 'Fe1 C1 I3'
_cell_length_a 5.1824
_cell_length_b 5.1824
_cell_length_c 5.1824
_cell_angle_alpha 90.00
_cell_angle_beta 90.00
_cell_angle_gamma 90.00
_space_group_name_H-M_alt 'P m -3 m'
_space_group_IT_number 221
_space_group_name_Hall '-P 4 2 3'
loop_
_atom_site_label
_atom_site_fract_x
_atom_site_fract_y
_atom_site_fract_z
_atom_site_occupancy
Fe1 0.0000 0.0000 0.0000 1
C1 0.5000 0.5000 0.5000 1
I1 0.0000 0.0000 0.5000 1
```

Below is FeC3I after structural relaxation, with properties calculated at the PBE level.

Values from the calculation:
* uncorrected energy: -26.739 eV/cell
* formation energy without anion corrections: 1056 kJ/mol of formula units
* distance to the lowest polymorph of the same formula: 0.000 eV/atom

Cell and atoms, written as CIF:
```
data_FeC3I
_chemical_formula_sum 'Fe1 C3 I1'
_cell_length_a 3.9112
_cell_length_b 3.9112
_cell_length_c 3.9112
_cell_angle_alpha 90.00
_cell_angle_beta 90.00
_cell_angle_gamma 90.00
_space_group_name_H-M_alt 'P m -3 m'
_space_group_IT_number 221
_space_group_name_Hall '-P 4 2 3'
loop_
_atom_site_label
_atom_site_fract_x
_atom_site_fract_y
_atom_site_fract_z
_atom_site_occupancy
Fe1 0.0000 0.0000 0.0000 1
C1 0.0000 0.0000 0.5000 1
I1 0.5000 0.5000 0.5000 1
```

Below is FeCI3 after structural relaxation, with properties calculated at the PBE level.

Values from the calculation:
* uncorrected energy: -14.782 eV/cell
* formation energy without anion corrections: 729 kJ/mol of formula units
* distance to the lowest polymorph of the same formula: 0.000 eV/atom

Cell and atoms, written as CIF:
```
data_FeCI3
_chemical_formula_sum 'Fe1 C1 I3'
_cell_length_a 5.0440
_cell_length_b 5.0440
_cell_length_c 5.0440
_cell_angle_alpha 90.00
_cell_angle_beta 90.00
_cell_angle_gamma 90.00
_space_group_name_H-M_alt 'P m -3 m'
_space_group_IT_number 221
_space_group_name_Hall '-P 4 2 3'
loop_
_atom_site_label
_atom_site_fract_x
_atom_site_fract_y
_atom_site_fract_z
_atom_site_occupancy
Fe1 0.0000 0.0000 0.0000 1
C1 0.5000 0.5000 0.5000 1
I1 0.0000 0.5000 0.5000 1
```

Below is FeC3I after structural relaxation, with properties calculated at the PBE level.

Values from the calculation:
* uncorrected energy: -18.660 eV/cell
* formation energy without anion corrections: 1836 kJ/mol of formula units
* distance to the lowest polymorph of the same formula: 1.616 eV/atom

Cell and atoms, written as CIF:
```
data_FeC3I
_chemical_formula_sum 'Fe1 C3 I1'
_cell_length_a 4.0583
_cell_length_b 4.0583
_cell_length_c 4.0583
_cell_angle_alpha 90.00
_cell_angle_beta 90.00
_cell_angle_gamma 90.00
_space_group_name_H-M_alt 'P m -3 m'
_space_group_IT_number 221
_space_group_name_Hall '-P 4 2 3'
loop_
_atom_site_label
_atom_site_fract_x
_atom_site_fract_y
_atom_site_fract_z
_atom_site_occupancy
Fe1 0.0000 0.0000 0.0000 1
C1 0.0000 0.5000 0.5000 1
I1 0.5000 0.5000 0.5000 1
```

Below is Li2FeCI after structural relaxation, with properties calculated at the PBE level.

Values from the calculation:
* uncorrected energy: -14.904 eV/cell
* formation energy without anion corrections: 787 kJ/mol of formula units
* distance to the lowest polymorph of the same formula: 0.407 eV/atom

Cell and atoms, written as CIF:
```
data_Li2FeCI
_chemical_formula_sum 'Li2 Fe1 C1 I1'
_cell_length_a 5.0900
_cell_length_b 5.0900
_cell_length_c 4.3665
_cell_angle_alpha 90.00
_cell_angle_beta 90.00
_cell_angle_gamma 90.00
_space_group_name_H-M_alt 'P 4/m m m'
_space_group_IT_number 123
_space_group_name_Hall '-P 4 2'
loop_
_atom_site_label
_atom_site_fract_x
_atom_site_fract_y
_atom_site_fract_z
_atom_site_occupancy
Li1 0.0000 0.5000 0.0000 1
Fe1 0.0000 0.0000 0.5000 1
C1 0.5000 0.5000 0.5000 1
I1 0.5000 0.5000 0.0000 1
```

Below is Li2FeCI after structural relaxation, with properties calculated at the PBE level.

Values from the calculation:
* uncorrected energy: -16.940 eV/cell
* formation energy without anion corrections: 591 kJ/mol of formula units
* distance to the lowest polymorph of the same formula: 0.000 eV/atom

Cell and atoms, written as CIF:
```
data_Li2FeCI
_chemical_formula_sum 'Li2 Fe1 C1 I1'
_cell_length_a 3.8904
_cell_length_b 3.8904
_cell_length_c 5.0219
_cell_angle_alpha 90.00
_cell_angle_beta 90.00
_cell_angle_gamma 90.00
_space_group_name_H-M_alt 'P 4/m m m'
_space_group_IT_number 123
_space_group_name_Hall '-P 4 2'
loop_
_atom_site_label
_atom_site_fract_x
_atom_site_fract_y
_atom_site_fract_z
_atom_site_occupancy
Li1 0.0000 0.5000 0.0000 1
Fe1 0.0000 0.0000 0.5000 1
C1 0.5000 0.5000 0.0000 1
I1 0.5000 0.5000 0.5000 1
```